[1]
A relaxed structure of Ta2AgW. Source: OQMD via LeMat-Bulk, functional PBE.

Cell: 4.6179 4.6179 4.6179 Å, 60.00 60.00 60.00°
Atoms (fractional coordinates):
Ta1 0.0000 0.0000 0.0000
Ta2 0.2500 0.2500 0.2500
Ag1 0.7500 0.7500 0.7500
W1 0.5000 0.5000 0.5000

Summary:
The formation energy comes out at 0.47 eV per atom.

---

[2]
A relaxed structure of DyHo2Mg3Pt2Au. Source: OQMD via LeMat-Bulk, functional PBE.

Cell: 4.0453 7.4299 7.4299 Å, 120.02 90.00 90.00°
Atoms (fractional coordinates):
Dy1 0.0000 0.0000 0.0000
Ho1 0.0000 0.4166 0.8330
Ho2 0.0000 0.8330 0.4166
Mg1 0.5000 0.1655 0.4167
Mg2 0.5000 0.4167 0.1655
Mg3 0.5000 0.6675 0.6675
Pt1 0.5000 0.0834 0.7496
Pt2 0.5000 0.7496 0.0834
Au1 0.0000 0.4169 0.4169

Summary:
Its total energy is -4.63 eV/atom.

---

[3]
A relaxed structure of YNpRe. Source: OQMD via LeMat-Bulk, functional PBE.

Cell: 4.7297 4.7297 4.7297 Å, 60.00 60.00 60.00°
Atoms (fractional coordinates):
Y1 0.0000 0.0000 0.0000
Np1 0.5000 0.5000 0.5000
Re1 0.2500 0.2500 0.2500

Summary:
The formation energy comes out at 0.53 eV per atom.

---

[4]
A relaxed structure of KHg3Te4W. Source: OQMD via LeMat-Bulk, functional PBE.

Cell: 7.7622 7.7622 7.7622 Å, 90.00 90.00 90.00°
Atoms (fractional coordinates):
K1 0.0000 0.0000 0.0000
Hg1 0.0000 0.5000 0.5000
Hg2 0.5000 0.0000 0.5000
Hg3 0.5000 0.5000 0.0000
Te1 0.3092 0.3092 0.3092
Te2 0.3092 0.6908 0.6908
Te3 0.6908 0.3092 0.6908
Te4 0.6908 0.6908 0.3092
W1 0.5000 0.5000 0.5000

Summary:
Its total energy is -3.03 eV/atom.